[1]
Cu2As2Se: optimized geometry, PBE-GGA.

It has space group I4/mmm (No. 139), with a = 3.906 Å, b = 3.906 Å, c = 11.567 Å, α = 90.00°, β = 90.00° and γ = 90.00°. The asymmetric unit holds Cu at (0.000, 0.000, 0.106), As at (0.000, 0.500, 0.250) and Se at (0.000, 0.000, 0.500).

Its energy above the most stable polymorph in this dataset is 78 meV/atom.


[2]
CuAsSe: optimized geometry, PBE-GGA.

It has space group P3m1 (No. 156), with a = 3.0616 Å, b = 3.0616 Å, c = 7.6216 Å, α = 90.00°, β = 90.00° and γ = 120.00°. The asymmetric unit holds Cu at (0.0000, 0.0000, 0.0000), As at (0.6667, 0.3333, 0.7531) and Se at (0.3333, 0.6667, 0.2377).


[3]
CuAsSe2: optimized geometry, PBE-GGA.

It has space group I4/mmm (No. 139), with a = 5.421 Å, b = 5.421 Å, c = 5.239 Å, α = 90.00°, β = 90.00° and γ = 90.00°. The asymmetric unit holds Cu at (0.000, 0.000, 0.000), As at (0.000, 0.000, 0.500) and Se at (0.000, 0.500, 0.000).


[4]
CuAsSe2: optimized geometry, PBE-GGA.

It has space group Imm2 (No. 44), with a = 3.487 Å, b = 3.531 Å, c = 14.755 Å, α = 90.00°, β = 90.00° and γ = 90.00°. The asymmetric unit holds Cu at (0.000, 0.000, 0.000), As at (0.000, 0.500, 0.351), Se at (0.000, 0.000, 0.517) and Se at (0.000, 0.500, 0.771).


[5]
CuAsSe: optimized geometry, PBE-GGA.

It has space group Fmm2 (No. 42), with a = 3.434 Å, b = 4.798 Å, c = 14.661 Å, α = 90.00°, β = 90.00° and γ = 90.00°. The asymmetric unit holds Cu at (0.000, 0.000, 0.000), As at (0.000, 0.000, 0.376) and Se at (0.000, 0.000, 0.623).


[6]
CuAsSe: optimized geometry, PBE-GGA.

It has space group P3m1 (No. 156), with a = 3.6923 Å, b = 3.6923 Å, c = 4.6192 Å, α = 90.00°, β = 90.00° and γ = 120.00°. The asymmetric unit holds Cu at (0.0000, 0.0000, 0.0000), As at (0.3333, 0.6667, 0.7137) and Se at (0.6667, 0.3333, 0.2898).


no.,VASP energy (eV for the cell shown),uncorrected formation energy (meV/atom)
1,-38.9,305
2,-11.4,262
3,-30.9,66
4,-30.5,118
5,-45.9,251
6,-12.0,61